Compound: VCo2CuH
Source: Alexandria via LeMat-Bulk
Functional: PBE
Structure: relaxed

Cell and atoms, written as POSCAR:
```
VCo2CuH
1.0
-1.878 -3.005 1.060
1.741 -1.998 -2.581
2.519 -0.766 2.292
H Co Cu V
1 2 1 1
direct
0.000 0.000 0.000
0.000 0.500 0.000
0.500 0.000 0.000
0.000 0.000 0.500
0.500 0.500 0.500
```

Excess energy over the best structure of this formula in the dataset in eV/atom: 0.041
Space group: P4/mmm (123)
DOS at the Fermi energy in states/eV per cell: 4.1
Theoretical density in g/cm3: 8.114
Calculated total energy in eV per cell: -30.39